# 1
DFT (PBE) results for PmMg4Ag5 after structural relaxation.

Cell lengths 3.4165, 3.4165, 17.0729 Å; angles 90.00, 90.00, 90.00 degrees
With the nearest neighbours (Å) after each atom.
Fractional positions:
Ag1 0.5000 0.5000 0.5000  8 Mg 2.90, 2 Ag 3.20
Ag2 0.5000 0.5000 0.6875  8 Mg 2.90-2.92, 2 Ag 3.18-3.20
Ag3 0.5000 0.5000 0.3125  8 Mg 2.90-2.92, 2 Ag 3.18-3.20
Ag4 0.5000 0.5000 0.1260  4 Mg 2.87, 1 Ag 3.18
Ag5 0.5000 0.5000 0.8740  4 Mg 2.87, 1 Ag 3.18
Mg1 0.0000 0.0000 0.4061  8 Ag 2.90, 2 Mg 3.21-3.24
Mg2 0.0000 0.0000 0.7835  8 Ag 2.87-2.92
Mg3 0.0000 0.0000 0.2165  8 Ag 2.87-2.92
Mg4 0.0000 0.0000 0.5939  8 Ag 2.90, 2 Mg 3.21-3.24
Pm1 0.0000 0.0000 0.0000  8 Ag 3.24, 4 Pm 3.42

Summary:
DFT formation energy in eV per formula unit: -2.3
E in eV/cell: -27.73
Fermi-level density of states in states/eV per atom: 0.36
Size of the total moment in Bohr magnetons per cell: 0.0

# 2
DFT (PBE) results for Pm3Mg2Ag4 after structural relaxation.

Cell lengths 5.2104, 5.2509, 9.2775 Å; angles 96.83, 90.00, 119.75 degrees
With the nearest neighbours (Å) after each atom.
Fractional positions:
Ag1 0.6826 0.3653 0.0910  1 Mg 2.86, 4 Pm 3.12-3.14
Ag2 0.9486 0.8972 0.6432  4 Mg 2.83-3.09, 1 Ag 2.94
Ag3 0.3174 0.6347 0.9090  1 Mg 2.86, 4 Pm 3.12-3.14
Ag4 0.0514 0.1028 0.3568  4 Mg 2.83-3.09, 1 Ag 2.94
Pm1 0.6306 0.2612 0.7518  7 Ag 3.12-3.38, 4 Mg 3.34-3.46
Pm2 0.3694 0.7388 0.2482  7 Ag 3.12-3.38, 4 Mg 3.34-3.46
Pm3 0.0000 0.0000 0.0000  8 Ag 3.12-3.28
Mg1 0.2777 0.5554 0.5982  5 Ag 2.83-3.09
Mg2 0.7223 0.4446 0.4018  5 Ag 2.83-3.09

Summary:
DFT formation energy in eV per formula unit: -2.1
E in eV/cell: -30.91
Fermi-level density of states in states/eV per atom: 0.72
Size of the total moment in Bohr magnetons per cell: 0.0

# 3
DFT (PBE) results for PmMg2Ag10 after structural relaxation.

Cell lengths 5.5746, 7.4057, 7.2415 Å; angles 81.67, 67.36, 67.89 degrees
With the nearest neighbours (Å) after each atom.
Fractional positions:
Ag1 0.6512 0.3498 0.3478  7 Ag 2.90-3.09, 2 Mg 2.90
Ag2 0.9990 0.3498 0.6522  7 Ag 2.90-3.09, 2 Mg 2.90
Ag3 0.2836 0.2195 0.2133  2 Mg 2.77, 8 Ag 2.81-3.09
Ag4 0.5031 0.7805 0.2133  2 Mg 2.77, 8 Ag 2.81-3.09
Ag5 0.0000 0.0000 0.5000  10 Ag 2.79-2.96
Ag6 0.5000 0.0000 0.5000  10 Ag 2.79-2.96
Ag7 0.4969 0.2195 0.7867  2 Mg 2.77, 8 Ag 2.81-3.09
Ag8 0.7164 0.7805 0.7867  2 Mg 2.77, 8 Ag 2.81-3.09
Ag9 0.0010 0.6502 0.3478  7 Ag 2.90-3.09, 2 Mg 2.90
Ag10 0.3488 0.6502 0.6522  7 Ag 2.90-3.09, 2 Mg 2.90
Mg1 0.0000 0.5000 0.0000  8 Ag 2.77-2.90, 2 Mg 2.79
Mg2 0.5000 0.5000 0.0000  8 Ag 2.77-2.90, 2 Mg 2.79
Pm1 0.0000 0.0000 0.0000  16 Ag 3.34-3.62, 4 Mg 3.70

Summary:
DFT formation energy in eV per formula unit: -1.3
E in eV/cell: -37.71
Fermi-level density of states in states/eV per atom: 0.36
Size of the total moment in Bohr magnetons per cell: 0.0

# 4
DFT (PBE) results for Pm2Mg5Ag after structural relaxation.

Cell lengths 6.1324, 6.1324, 7.4596 Å; angles 65.70, 65.70, 90.03 degrees
With the nearest neighbours (Å) after each atom.
Fractional positions:
Mg1 0.2159 0.2159 0.0629  1 Ag 2.73, 3 Mg 2.86-3.04
Mg2 0.7211 0.2162 0.0624  1 Ag 2.73, 3 Mg 2.86-3.04
Mg3 0.3166 0.3166 0.3665  1 Ag 2.54
Mg4 0.7213 0.7213 0.0622  1 Ag 2.73, 3 Mg 2.86-3.04
Mg5 0.2162 0.7211 0.0624  1 Ag 2.73, 3 Mg 2.86-3.04
Pm1 0.2123 0.7121 0.5759  2 Ag 3.32, 6 Mg 3.32-3.66
Pm2 0.7121 0.2123 0.5759  2 Ag 3.32, 6 Mg 3.32-3.66
Ag1 0.1075 0.1075 0.7856  5 Mg 2.54-2.73

Summary:
DFT formation energy in eV per formula unit: 0.6
E in eV/cell: -19.77
Fermi-level density of states in states/eV per atom: 0.84
Size of the total moment in Bohr magnetons per cell: 0.0

# 5
DFT (PBE) results for Pm2Mg3Ag2 after structural relaxation.

Cell lengths 4.6931, 5.7074, 7.6384 Å; angles 110.79, 90.00, 114.28 degrees
With the nearest neighbours (Å) after each atom.
Fractional positions:
Pm1 0.8613 0.7226 0.2202  4 Ag 3.06-3.20, 1 Mg 3.43
Pm2 0.1387 0.2774 0.7798  4 Ag 3.06-3.20, 1 Mg 3.43
Mg1 0.6278 0.2556 0.4367  3 Ag 2.81-3.01, 1 Mg 3.07
Mg2 0.5000 0.0000 0.0000  4 Ag 2.92, 2 Mg 3.07
Mg3 0.3722 0.7444 0.5633  3 Ag 2.81-3.01, 1 Mg 3.07
Ag1 0.1510 0.3021 0.2046  5 Mg 2.81-3.01, 1 Pm 3.06
Ag2 0.8490 0.6979 0.7954  5 Mg 2.81-3.01, 1 Pm 3.06

Summary:
Polymorph energy (0 for the lowest one) in meV per atom: 0
DFT formation energy in eV per formula unit: -1.6
E in eV/cell: -21.64
Fermi-level density of states in states/eV per atom: 0.70
Size of the total moment in Bohr magnetons per cell: 0.0

# 6
DFT (PBE) results for Pm2MgAg3 after structural relaxation.

Cell lengths 3.5801, 3.5801, 11.0361 Å; angles 90.00, 90.00, 90.00 degrees
With the nearest neighbours (Å) after each atom.
Fractional positions:
Pm1 0.5000 0.5000 0.8222  8 Ag 3.20-3.24, 1 Mg 3.56, 4 Pm 3.58
Pm2 0.5000 0.5000 0.1778  8 Ag 3.20-3.24, 1 Mg 3.56, 4 Pm 3.58
Ag1 0.0000 0.0000 0.6394  4 Mg 2.96, 1 Ag 3.08, 4 Pm 3.24
Ag2 0.0000 0.0000 0.0000  8 Pm 3.20, 4 Ag 3.58
Ag3 0.0000 0.0000 0.3606  4 Mg 2.96, 1 Ag 3.08, 4 Pm 3.24
Mg1 0.5000 0.5000 0.5000  8 Ag 2.96

Summary:
Polymorph energy (0 for the lowest one) in meV per atom: 30
DFT formation energy in eV per formula unit: -1.4
E in eV/cell: -21.06
Fermi-level density of states in states/eV per atom: 0.71
Size of the total moment in Bohr magnetons per cell: 0.0

# 7
DFT (PBE) results for Pm3Mg4Ag2 after structural relaxation.

Cell lengths 5.1557, 6.0841, 9.4822 Å; angles 120.33, 90.00, 115.07 degrees
With the nearest neighbours (Å) after each atom.
Fractional positions:
Ag1 0.6129 0.2259 0.2795  5 Mg 2.90-3.19
Ag2 0.3871 0.7741 0.7205  5 Mg 2.90-3.19
Pm1 0.3387 0.6774 0.3293  2 Pm 3.21-3.27, 4 Ag 3.31-3.44, 8 Mg 3.34-3.44
Pm2 0.6613 0.3226 0.6707  2 Pm 3.21-3.27, 4 Ag 3.31-3.44, 8 Mg 3.34-3.44
Pm3 0.0000 0.0000 0.0000  2 Pm 3.27, 8 Mg 3.32-3.48, 4 Ag 3.40
Mg1 0.9267 0.8535 0.6011  3 Ag 2.94-3.08, 1 Mg 3.12
Mg2 0.7119 0.4238 0.0531  2 Ag 2.90-3.19, 2 Mg 3.05
Mg3 0.0733 0.1465 0.3989  3 Ag 2.94-3.08, 1 Mg 3.12
Mg4 0.2881 0.5762 0.9469  2 Ag 2.90-3.19, 2 Mg 3.05

Summary:
DFT formation energy in eV per formula unit: -1.5
E in eV/cell: -27.88
Fermi-level density of states in states/eV per atom: 0.70
Size of the total moment in Bohr magnetons per cell: 0.0

# 8
DFT (PBE) results for Pm2Mg5Ag3 after structural relaxation.

Cell lengths 4.5887, 7.5226, 13.8429 Å; angles 90.00, 99.54, 90.00 degrees
With the nearest neighbours (Å) after each atom.
Fractional positions:
Pm1 0.5218 0.2800 0.0436  5 Ag 3.08-3.34, 2 Mg 3.38
Pm2 0.1767 0.7067 0.3534  4 Ag 3.20-3.35, 9 Mg 3.33-3.48
Pm3 0.8233 0.2067 0.6466  4 Ag 3.20-3.35, 9 Mg 3.33-3.48
Pm4 0.4782 0.7800 0.9564  5 Ag 3.08-3.34, 2 Mg 3.38
Ag1 0.9550 0.4922 0.9100  5 Mg 2.81-2.95
Ag2 0.2339 0.2016 0.4678  7 Mg 2.78-2.87
Ag3 0.6119 0.5258 0.2239  4 Mg 2.78-2.90, 1 Pm 3.08
Ag4 0.0450 0.9922 0.0900  5 Mg 2.81-2.95
Ag5 0.3881 0.0258 0.7761  4 Mg 2.78-2.90, 1 Pm 3.08
Ag6 0.7661 0.7016 0.5322  7 Mg 2.78-2.87
Mg1 0.7076 0.3986 0.4152  4 Ag 2.78-2.82, 1 Mg 2.95
Mg2 0.0557 0.6069 0.1115  4 Ag 2.83-2.91
Mg3 0.4003 0.4081 0.8006  3 Ag 2.81-2.90, 1 Mg 3.06
Mg4 0.2924 0.8986 0.5848  4 Ag 2.78-2.82, 1 Mg 2.95
Mg5 0.7084 0.0068 0.4169  3 Ag 2.78-2.81, 2 Mg 2.95-3.06
Mg6 0.8707 0.7382 0.7414  4 Ag 2.87-3.19
Mg7 0.2916 0.5068 0.5831  3 Ag 2.78-2.81, 2 Mg 2.95-3.06
Mg8 0.5997 0.9081 0.1994  3 Ag 2.81-2.90, 1 Mg 3.06
Mg9 0.9443 0.1069 0.8885  4 Ag 2.83-2.91
Mg10 0.1293 0.2382 0.2586  4 Ag 2.87-3.19

Summary:
DFT formation energy in eV per formula unit: -2.0
E in eV/cell: -56.03
Fermi-level density of states in states/eV per atom: 0.77
Size of the total moment in Bohr magnetons per cell: 0.0

# 9
DFT (PBE) results for Pm4Mg5Ag after structural relaxation.

Cell lengths 3.7537, 3.7537, 19.0631 Å; angles 90.00, 90.00, 90.00 degrees
With the nearest neighbours (Å) after each atom.
Fractional positions:
Pm1 0.0000 0.0000 0.3944  8 Mg 3.30-3.33
Pm2 0.0000 0.0000 0.6056  8 Mg 3.30-3.33
Pm3 0.0000 0.0000 0.1890  8 Mg 3.30-3.39, 1 Ag 3.60
Pm4 0.0000 0.0000 0.8110  8 Mg 3.30-3.39, 1 Ag 3.60
Mg1 0.5000 0.5000 0.5000  8 Pm 3.33
Mg2 0.5000 0.5000 0.2915  8 Pm 3.30
Mg3 0.5000 0.5000 0.0787  1 Mg 3.00, 4 Ag 3.05
Mg4 0.5000 0.5000 0.9213  1 Mg 3.00, 4 Ag 3.05
Mg5 0.5000 0.5000 0.7085  8 Pm 3.30
Ag1 0.0000 0.0000 0.0000  8 Mg 3.05

Summary:
DFT formation energy in eV per formula unit: -1.0
E in eV/cell: -30.84
Fermi-level density of states in states/eV per atom: 0.96
Size of the total moment in Bohr magnetons per cell: 0.0

# 10
DFT (PBE) results for PmMg5Ag4 after structural relaxation.

Cell lengths 3.3731, 3.3731, 18.0618 Å; angles 90.00, 90.00, 90.00 degrees
With the nearest neighbours (Å) after each atom.
Fractional positions:
Pm1 0.0000 0.0000 0.0000  4 Pm 3.37, 8 Mg 3.45
Mg1 0.5000 0.5000 0.8623  4 Ag 2.88
Mg2 0.5000 0.5000 0.5000  8 Ag 2.89
Mg3 0.5000 0.5000 0.6818  8 Ag 2.90
Mg4 0.5000 0.5000 0.1377  4 Ag 2.88
Mg5 0.5000 0.5000 0.3182  8 Ag 2.90
Ag1 0.0000 0.0000 0.2270  8 Mg 2.88-2.90
Ag2 0.0000 0.0000 0.5904  8 Mg 2.89-2.90
Ag3 0.0000 0.0000 0.7730  8 Mg 2.88-2.90
Ag4 0.0000 0.0000 0.4096  8 Mg 2.89-2.90

Summary:
DFT formation energy in eV per formula unit: -2.0
E in eV/cell: -26.11
Fermi-level density of states in states/eV per atom: 0.64
Size of the total moment in Bohr magnetons per cell: 0.0

Repeat the seventh record exactly.
DFT (PBE) results for Pm3Mg4Ag2 after structural relaxation.

Cell lengths 5.1557, 6.0841, 9.4822 Å; angles 120.33, 90.00, 115.07 degrees
With the nearest neighbours (Å) after each atom.
Fractional positions:
Ag1 0.6129 0.2259 0.2795  5 Mg 2.90-3.19
Ag2 0.3871 0.7741 0.7205  5 Mg 2.90-3.19
Pm1 0.3387 0.6774 0.3293  2 Pm 3.21-3.27, 4 Ag 3.31-3.44, 8 Mg 3.34-3.44
Pm2 0.6613 0.3226 0.6707  2 Pm 3.21-3.27, 4 Ag 3.31-3.44, 8 Mg 3.34-3.44
Pm3 0.0000 0.0000 0.0000  2 Pm 3.27, 8 Mg 3.32-3.48, 4 Ag 3.40
Mg1 0.9267 0.8535 0.6011  3 Ag 2.94-3.08, 1 Mg 3.12
Mg2 0.7119 0.4238 0.0531  2 Ag 2.90-3.19, 2 Mg 3.05
Mg3 0.0733 0.1465 0.3989  3 Ag 2.94-3.08, 1 Mg 3.12
Mg4 0.2881 0.5762 0.9469  2 Ag 2.90-3.19, 2 Mg 3.05

Summary:
DFT formation energy in eV per formula unit: -1.5
E in eV/cell: -27.88
Fermi-level density of states in states/eV per atom: 0.70
Size of the total moment in Bohr magnetons per cell: 0.0